[1]
A plane-wave DFT calculation with PBE was carried out for a relaxed LaTm3Cd crystal.

```
10
Lattice="1.766 -8.462 0.000 1.766 8.462 0.000 0.000 0.000 10.898" Properties=species:S:1:pos:R:3 pbc="T T T"
La 1.766 8.107 8.174
La 1.766 -8.107 2.725
Tm 1.766 5.765 0.102
Tm 1.766 5.765 5.347
Tm 1.766 3.480 2.725
Tm 1.766 -3.480 8.174
Tm 1.766 -5.765 5.551
Tm 1.766 -5.765 10.796
Cd 1.766 2.416 8.174
Cd 1.766 -2.416 2.725
```

Relative energy among the computed polymorphs   157 meV per atom
SG   Cmcm
Electronic total energy   -3.794 eV/atom
Energy of formation from the pure elements   57 meV/atom
Theoretical density   7.731 g/cm3



[2]
A plane-wave DFT calculation with PBE was carried out for a relaxed La6TmCd crystal.

```
8
Lattice="5.118 0.000 0.000 0.000 5.118 0.000 0.000 0.000 10.342" Properties=species:S:1:pos:R:3 pbc="T T T"
La 0.000 0.000 0.000
La 0.000 0.000 5.171
La 0.000 2.559 2.561
La 0.000 2.559 7.780
La 2.559 0.000 2.561
La 2.559 0.000 7.780
Tm 2.559 2.559 5.171
Cd 2.559 2.559 0.000
```

Relative energy among the computed polymorphs   0 meV per atom
SG   P4/mmm
Electronic total energy   -4.427 eV/atom
Energy of formation from the pure elements   -58 meV/atom
Theoretical density   6.833 g/cm3



[3]
A plane-wave DFT calculation with PBE was carried out for a relaxed La14TmCd crystal.

```
16
Lattice="10.475 0.000 0.000 0.000 5.175 5.176 0.000 -5.175 5.176" Properties=species:S:1:pos:R:3 pbc="T T T"
La 0.000 0.000 0.000
La 0.000 2.593 7.757
La 0.000 -2.593 7.757
La 0.000 0.000 5.168
La 2.663 0.000 7.727
La 2.670 -2.552 5.170
La 2.670 2.552 5.170
La 2.681 0.000 2.615
La 5.237 -2.577 7.753
La 5.237 2.577 7.753
La 7.793 0.000 2.615
La 7.804 -2.552 5.170
La 7.804 2.552 5.170
La 7.812 0.000 7.727
Tm 5.237 0.000 10.344
Cd 5.237 0.000 5.169
```

SG   Amm2
Electronic total energy   -4.677 eV/atom
Energy of formation from the pure elements   -29 meV/atom
Theoretical density   6.588 g/cm3